Entry from the Alexandria database: a relaxed structure of Li2V3CoO8 (PBE with a Hubbard U).

Calculated values
Volume in Å³/cell: 296.8
Total DFT energy (no corrections) in eV/atom: -6.992

Structure (extended XYZ):
```
28
Lattice="-3.229 2.757 4.144 -2.521 -3.142 4.374 8.565 4.176 3.896" Properties=species:S:1:pos:R:3 pbc="T T T"
Li 2.836 2.100 5.113
Li -3.022 1.356 5.185
Li 2.723 3.629 8.248
Li 0.090 0.132 4.183
V 1.451 2.118 10.478
V 1.312 1.666 1.975
V -1.416 1.706 10.459
V -4.118 -1.731 6.483
V 5.547 3.795 3.984
V -2.727 -0.059 8.396
Co 5.847 2.423 7.217
Co -0.030 1.697 7.317
O 3.043 0.534 6.342
O -2.794 -0.226 6.389
O 5.613 4.025 6.010
O -0.233 3.273 6.069
O 2.574 3.780 6.155
O 0.117 0.304 2.069
O 3.923 5.342 7.930
O 1.204 1.919 3.976
O 4.442 2.356 3.962
O -1.486 1.501 3.920
O 4.283 2.188 8.425
O -1.593 1.546 8.503
O 1.518 1.942 8.524
O -1.045 -1.614 4.370
O 2.807 3.534 10.300
O 0.132 -0.011 6.309
```